[1]
AgSb2RuI (GGA-PBEsol, optimized geometry); energy = -3.4128 eV per atom; E_form (uncorrected) = 1.460 eV/atom
1.0
5.1885 0.0000 0.0000
0.0000 5.1885 0.0000
0.0000 0.0000 5.4045
Sb I Ag Ru
2 1 1 1
Direct
0.0000 0.5000 0.0000
0.5000 0.0000 0.0000
0.0000 0.0000 0.5000
0.0000 0.0000 0.0000
0.5000 0.5000 0.5000

=====

[2]
TlAg2SI (GGA-PBEsol, optimized geometry); energy = -2.3967 eV per atom; E_form (uncorrected) = 0.684 eV/atom
1.0
5.1440 0.0000 0.0000
0.0000 5.1440 0.0000
0.0000 0.0000 6.2783
S Ag I Tl
1 2 1 1
Direct
0.5000 0.5000 0.5000
0.5000 0.0000 0.0000
0.0000 0.5000 0.0000
0.0000 0.0000 0.0000
0.0000 0.0000 0.5000

=====

[3]
AgSnSb2I (GGA-PBEsol, optimized geometry); energy = -3.1606 eV per atom; E_form (uncorrected) = 0.530 eV/atom
1.0
-2.8842 3.6276 -2.5175
-4.3842 -1.9945 2.1488
0.5506 3.4211 4.2989
Sb Ag Sn I
2 1 1 1
Direct
0.0000 0.5000 0.0000
0.5000 0.0000 0.0000
0.0000 0.0000 0.0000
0.5000 0.5000 0.5000
0.0000 0.0000 0.5000

=====

[4]
TiAgSb2I (GGA-PBEsol, optimized geometry); energy = -3.6328 eV per atom; E_form (uncorrected) = 0.870 eV/atom
1.0
-3.6197 -3.4967 1.3580
3.1703 -3.8604 -1.4900
2.1226 -0.2209 5.0888
Sb I Ag Ti
2 1 1 1
Direct
0.0000 0.5000 0.0000
0.5000 0.0000 0.0000
0.0000 0.0000 0.5000
0.0000 0.0000 0.0000
0.5000 0.5000 0.5000

=====

[5]
ScAgTeI2 (GGA-PBEsol, optimized geometry); energy = -3.6564 eV per atom; E_form (uncorrected) = -0.261 eV/atom
1.0
5.5350 0.0000 0.0000
0.0000 5.5350 0.0000
0.0000 0.0000 5.6494
Ag I Te Sc
1 2 1 1
Direct
0.5000 0.5000 0.5000
0.5000 0.0000 0.0000
0.0000 0.5000 0.0000
0.0000 0.0000 0.5000
0.0000 0.0000 0.0000

=====

[6]
AgSe3I (GGA-PBEsol, optimized geometry); energy = -3.3928 eV per atom; E_form (uncorrected) = -0.067 eV/atom
1.0
4.6962 0.0000 0.0000
0.0000 8.0442 0.0000
0.0000 0.0000 14.7167
Ag I Se
4 4 12
Direct
0.6941 0.2500 0.2500
0.3059 0.7500 0.2500
0.3059 0.7500 0.7500
0.6941 0.2500 0.7500
0.0000 0.5000 0.8386
0.0000 0.0000 0.6614
0.0000 0.5000 0.1614
0.0000 0.0000 0.3386
0.3726 0.1311 0.1210
0.6274 0.8689 0.8790
0.3726 0.1311 0.8790
0.6057 0.2290 0.5000
0.3726 0.3689 0.6210
0.6274 0.6311 0.6210
0.3726 0.3689 0.3790
0.6274 0.8689 0.1210
0.3943 0.7710 0.5000
0.6057 0.2710 0.0000
0.6274 0.6311 0.3790
0.3943 0.7290 0.0000

=====

[7]
AgTe2SeI (GGA-PBEsol, optimized geometry); energy = -2.5405 eV per atom; E_form (uncorrected) = 0.656 eV/atom
1.0
5.2768 0.0000 0.0000
0.0000 5.3542 0.0000
0.0000 0.0000 5.3542
Te Ag I Se
2 1 1 1
Direct
0.0000 0.0000 0.5000
0.0000 0.5000 0.0000
0.0000 0.0000 0.0000
0.5000 0.0000 0.0000
0.5000 0.5000 0.5000

=====

[8]
TaAgI3 (GGA-PBEsol, optimized geometry); energy = -3.0783 eV per atom; E_form (uncorrected) = 1.154 eV/atom
1.0
-3.5159 4.0085 -1.1156
-1.6747 -0.0263 5.1835
3.8089 3.6886 1.2493
I Ag Ta
3 1 1
Direct
0.5000 0.0000 0.0000
0.0000 0.5000 0.0000
0.0000 0.0000 0.5000
0.0000 0.0000 0.0000
0.5000 0.5000 0.5000

=====

[9]
TcAgI2 (GGA-PBEsol, optimized geometry); energy = -3.7259 eV per atom; E_form (uncorrected) = 0.802 eV/atom
1.0
4.8909 0.0000 0.0000
2.4455 4.2357 0.0000
2.4455 1.4119 3.9934
Ag I Tc
1 2 1
Direct
0.5000 0.5000 0.5000
0.7500 0.7500 0.7500
0.2500 0.2500 0.2500
0.0000 0.0000 0.0000

=====

[10]
Tl2AgI3 (GGA-PBEsol, optimized geometry); energy = -2.7682 eV per atom; E_form (uncorrected) = -0.456 eV/atom
1.0
8.7651 0.0226 0.0178
2.7266 8.3303 0.0178
2.7266 1.9819 8.0911
Tl I Ag
6 9 3
Direct
0.4497 0.6705 0.1080
0.6705 0.1080 0.4497
0.8920 0.5503 0.3295
0.1080 0.4497 0.6705
0.3295 0.8920 0.5503
0.5503 0.3295 0.8920
0.2967 0.2967 0.2967
0.1558 0.6619 0.9149
0.5000 0.5000 0.5000
0.7033 0.7033 0.7033
0.8442 0.3381 0.0851
0.9149 0.1558 0.6619
0.3381 0.0851 0.8442
0.6619 0.9149 0.1558
0.0851 0.8442 0.3381
0.8450 0.8450 0.8450
0.0000 0.0000 0.0000
0.1550 0.1550 0.1550

=====

[11]
TlAgWI2 (GGA-PBEsol, optimized geometry); energy = -3.1978 eV per atom; E_form (uncorrected) = 1.459 eV/atom
1.0
5.3462 0.0000 0.0000
0.0000 5.6185 0.0000
0.0000 0.0000 5.6185
I W Tl Ag
2 1 1 1
Direct
0.0000 0.5000 0.0000
0.0000 0.0000 0.5000
0.5000 0.5000 0.5000
0.5000 0.0000 0.0000
0.0000 0.0000 0.0000

=====

[12]
YAgI3 (GGA-PBEsol, optimized geometry); energy = -3.5501 eV per atom; E_form (uncorrected) = -0.463 eV/atom
1.0
-4.0156 4.1884 0.9488
-3.2965 -3.8387 2.9942
2.7525 1.5130 4.9701
Y I Ag
1 3 1
Direct
0.0000 0.0000 0.0000
0.0000 0.0000 0.5000
0.0000 0.5000 0.0000
0.5000 0.0000 0.0000
0.5000 0.5000 0.5000

=====

[13]
Zr2ZnAgI (GGA-PBEsol, optimized geometry); energy = -3.8222 eV per atom; E_form (uncorrected) = 1.146 eV/atom
1.0
-2.2097 -4.5888 -0.6425
1.8759 -0.2350 -4.7727
4.4551 -2.4071 1.8696
Zr Zn I Ag
2 1 1 1
Direct
0.5000 0.0000 0.0000
0.0000 0.5000 0.0000
0.5000 0.5000 0.5000
0.0000 0.0000 0.5000
0.0000 0.0000 0.0000

=====

[14]
Zr2AgI (GGA-PBEsol, optimized geometry); energy = -5.8108 eV per atom; E_form (uncorrected) = 0.004 eV/atom
1.0
-3.7606 -2.1030 2.3134
0.0290 -4.8184 0.8361
0.5661 -1.6880 4.5549
I Zr Ag
1 2 1
Direct
0.5000 0.5000 0.5000
0.2500 0.2500 0.2500
0.7500 0.7500 0.7500
0.0000 0.0000 0.0000

=====

[15]
InAg (GGA-PBEsol, optimized geometry); energy = -3.0846 eV per atom; formation energy = 0.0624 eV per atom
1.0
3.1828 0.0000 0.0000
-1.5914 2.7564 0.0000
0.0000 0.0000 9.2839
Ag In
2 2
Direct
0.6667 0.3333 0.8854
0.3333 0.6667 0.1146
0.3333 0.6667 0.6412
0.6667 0.3333 0.3588

=====

[16]
InAg (GGA-PBEsol, optimized geometry); energy = -3.0506 eV per atom; formation energy = 0.0965 eV per atom
1.0
4.8510 0.0000 0.0000
2.4255 4.2011 0.0000
2.4255 1.4004 3.9609
In Ag
2 2
Direct
0.0000 0.0000 0.0000
0.2500 0.2500 0.2500
0.5000 0.5000 0.5000
0.7500 0.7500 0.7500

=====

[17]
In3Ag5 (GGA-PBEsol, optimized geometry); energy = -3.2176 eV per atom; formation energy = -0.0295 eV per atom
1.0
-3.1102 1.9136 2.2515
-3.4358 -4.7145 -0.7393
2.3655 -2.0244 4.9884
In Ag
3 5
Direct
0.5000 0.2318 0.7682
0.5000 0.7682 0.2318
0.0000 0.5000 0.5000
0.5000 0.2579 0.2579
0.0000 0.0000 0.0000
0.0000 0.0000 0.5000
0.5000 0.7421 0.7421
0.0000 0.5000 0.0000

=====

[18]
InAg (GGA-PBEsol, optimized geometry); energy = -3.1598 eV per atom; formation energy = -0.0128 eV per atom
1.0
3.0102 0.0000 0.0000
0.0000 4.9369 0.1175
-1.5051 -1.8184 5.3076
Ag In
2 2
Direct
0.1454 0.3246 0.2908
0.8546 0.6754 0.7092
0.3931 0.1968 0.7862
0.6069 0.8032 0.2138

=====

[19]
In5Ag24 (GGA-PBEsol, optimized geometry); energy = -3.2312 eV per atom; formation energy = 0.0234 eV per atom
1.0
-3.1587 2.6616 7.7020
3.0385 -8.1591 0.7600
6.4876 5.3057 -2.4786
Ag In
24 5
Direct
0.6857 0.6857 0.2719
0.0000 0.8076 0.6186
0.5862 0.0000 0.3143
0.8076 0.0000 0.6186
0.8076 0.6186 0.0000
0.3143 0.5862 0.0000
0.0000 0.6186 0.8076
0.1924 0.1924 0.8111
0.4138 0.4138 0.7281
0.1889 0.3814 0.3814
0.1924 0.8111 0.1924
0.6186 0.8076 0.0000
0.4138 0.7281 0.4138
0.6857 0.2719 0.6857
0.5862 0.3143 0.0000
0.3814 0.3814 0.1889
0.6186 0.0000 0.8076
0.0000 0.3143 0.5862
0.8111 0.1924 0.1924
0.7281 0.4138 0.4138
0.3814 0.1889 0.3814
0.2719 0.6857 0.6857
0.3143 0.0000 0.5862
0.0000 0.5862 0.3143
0.0000 0.3624 0.0000
0.0000 0.0000 0.0000
0.3624 0.0000 0.0000
0.6376 0.6376 0.6376
0.0000 0.0000 0.3624

=====

[20]
InAg (GGA-PBEsol, optimized geometry); energy = -3.1345 eV per atom; formation energy = 0.0125 eV per atom
1.0
-1.3816 0.4891 5.5769
1.9087 -7.4227 1.1239
10.3039 2.9963 2.2899
In Ag
12 12
Direct
0.2500 0.3253 0.3139
0.2500 0.4400 0.8714
0.7500 0.1747 0.3139
0.7500 0.6747 0.6861
0.2500 0.9400 0.1286
0.0000 0.7500 0.3522
0.7500 0.5601 0.1286
0.2500 0.8253 0.6861
0.5000 0.7500 0.3522
0.5000 0.2500 0.6478
0.0000 0.2500 0.6478
0.7500 0.0600 0.8714
0.2500 0.5723 0.1231
0.5000 0.2500 0.0757
0.7500 0.9717 0.5280
0.0000 0.7500 0.9243
0.5000 0.7500 0.9243
0.7500 0.4717 0.4720
0.0000 0.2500 0.0757
0.7500 0.9277 0.1231
0.2500 0.0283 0.4720
0.2500 0.0723 0.8769
0.2500 0.5283 0.5280
0.7500 0.4277 0.8769

=====

[21]
InAg (GGA-PBEsol, optimized geometry); energy = -3.0121 eV per atom; formation energy = 0.1349 eV per atom
1.0
3.1103 0.0000 0.0000
-1.5551 2.6936 0.0000
0.0000 0.0000 10.0752
Ag In
2 2
Direct
0.6667 0.3333 0.9504
0.3333 0.6667 0.4504
0.3333 0.6667 0.1786
0.6667 0.3333 0.6786

=====

[22]
InAg5 (GGA-PBEsol, optimized geometry); energy = -3.3085 eV per atom; formation energy = -0.0520 eV per atom
1.0
-4.6807 0.7634 0.2367
-0.6129 -2.4086 -4.3526
-0.1956 -2.5379 4.3178
Ag In
5 1
Direct
0.0000 0.3362 0.3362
0.5000 0.3333 0.6667
0.0000 0.0000 0.6638
0.5000 0.6667 0.3333
0.0000 0.6638 0.0000
0.5000 0.0000 0.0000

=====

[23]
In2Ag (GGA-PBEsol, optimized geometry); energy = -3.0597 eV per atom; formation energy = 0.0326 eV per atom
1.0
-2.7299 -0.8673 -1.1345
0.5532 -3.8877 1.6409
-1.0923 3.8174 3.8936
In Ag
2 1
Direct
0.6577 0.6577 0.3154
0.3423 0.3423 0.6846
0.0000 0.0000 0.0000

=====

[24]
In2Ag (GGA-PBEsol, optimized geometry); energy = -3.1054 eV per atom; formation energy = -0.0131 eV per atom
1.0
-2.3209 1.8492 -1.0340
-1.9850 -1.3618 2.0201
5.2554 8.7417 8.6126
Ag In
2 4
Direct
0.2500 0.7500 0.5000
0.0000 0.0000 0.0000
0.4258 0.4258 0.8516
0.5742 0.5742 0.1484
0.8242 0.3242 0.6484
0.6758 0.1758 0.3516

=====

[25]
InAg7 (GGA-PBEsol, optimized geometry); energy = -3.3097 eV per atom; formation energy = -0.0396 eV per atom
1.0
5.7798 0.0000 0.0000
2.8899 5.0055 0.0000
2.8899 1.6685 4.7192
Ag In
7 1
Direct
0.5000 0.0000 0.5000
0.0000 0.5000 0.0000
0.0000 0.0000 0.5000
0.5000 0.5000 0.0000
0.0000 0.5000 0.5000
0.5000 0.0000 0.0000
0.5000 0.5000 0.5000
0.0000 0.0000 0.0000

=====

no.,ρ (Mg/m³)
1,6.61
2,5.79
3,6.45
4,5.83
5,5.13
6,5.63
7,6.25
8,6.88
9,9.23
10,7.58
11,7.38
12,4.72
13,5.63
14,8.38
15,9.08
16,9.16
17,9.91
18,9.30
19,10.22
20,9.05
21,8.76
22,10.51
23,8.72
24,8.62
25,10.58